This record from the Alexandria database describes an optimized crystal structure of Tb2CoOsO8. The functional is GGA+U.

Cell lengths 4.736, 4.756, 6.925 Å; angles 90.89, 90.78, 94.60 degrees
Sites, in units of the cell vectors:
1 Tb 0.049 0.046 0.244
2 Tb 0.951 0.954 0.756
3 Co 0.500 0.500 0.000
4 Os 0.500 0.500 0.500
5 O 0.212 0.219 0.534
6 O 0.222 0.224 0.970
7 O 0.290 0.649 0.290
8 O 0.353 0.716 0.708
9 O 0.647 0.284 0.292
10 O 0.710 0.351 0.710
11 O 0.778 0.776 0.030
12 O 0.788 0.781 0.466

* D(E_F): 1.60 states/eV/f.u.
* raw total energy: -0.2721 Ha/atom
* crystal system: triclinic
* size of the total moment: 3.0 μB per formula unit